1.
# RbLiPr2I8, relaxed, DFT PBE
data_RbLiPr2I8
_cell_length_a 8.0216
_cell_length_b 8.0216
_cell_length_c 9.4904
_cell_angle_alpha 90.00
_cell_angle_beta 90.00
_cell_angle_gamma 120.00
_space_group_name_H-M_alt 'P -3'
_space_group_IT_number 147
_space_group_name_Hall '-P 3'
loop_
_atom_site_label
_atom_site_fract_x
_atom_site_fract_y
_atom_site_fract_z
Rb1 0.0000 0.0000 0.0000
Li1 0.0000 0.0000 0.5000
Pr1 0.3333 0.6667 0.4045
I1 0.0686 0.3543 0.6590
I2 0.3333 0.6667 0.0823
# Calculated density ... 4.4 g/cm³
# Formation energy (no corrections) ... -1.35 eV per atom



2.
# Rb2LiPrI6, relaxed, DFT PBE
data_Rb2LiPrI6
_cell_length_a 8.387
_cell_length_b 8.751
_cell_length_c 14.572
_cell_angle_alpha 90.00
_cell_angle_beta 124.77
_cell_angle_gamma 90.00
_space_group_name_H-M_alt 'P 1 21/c 1'
_space_group_IT_number 14
_space_group_name_Hall '-P 2ybc'
loop_
_atom_site_label
_atom_site_fract_x
_atom_site_fract_y
_atom_site_fract_z
Rb1 0.225 0.071 0.248
Li1 0.000 0.000 0.500
Pr1 0.500 0.000 0.000
I1 0.153 0.204 0.957
I2 0.258 0.700 0.959
I3 0.328 0.013 0.743
# Calculated density ... 4.1 g/cm³
# Formation energy (no corrections) ... -1.41 eV per atom



3.
# Rb2LiPrI5, relaxed, DFT PBE
data_Rb2LiPrI5
_cell_length_a 4.457
_cell_length_b 21.581
_cell_length_c 16.161
_cell_angle_alpha 90.00
_cell_angle_beta 90.00
_cell_angle_gamma 90.00
_space_group_name_H-M_alt 'C m c 21'
_space_group_IT_number 36
_space_group_name_Hall 'C 2c -2'
loop_
_atom_site_label
_atom_site_fract_x
_atom_site_fract_y
_atom_site_fract_z
Rb1 0.000 0.112 0.000
Rb2 0.000 0.129 0.639
Li1 0.000 0.438 0.744
Pr1 0.000 0.200 0.338
I1 0.000 0.052 0.344
I2 0.000 0.290 0.985
I3 0.000 0.310 0.689
I4 0.000 0.348 0.322
I5 0.000 0.499 0.598
# Calculated density ... 4.1 g/cm³
# Formation energy (no corrections) ... -1.33 eV per atom



4.
# Rb2LiPrI6, relaxed, DFT PBE
data_Rb2LiPrI6
_cell_length_a 12.203
_cell_length_b 12.203
_cell_length_c 12.203
_cell_angle_alpha 90.00
_cell_angle_beta 90.00
_cell_angle_gamma 90.00
_space_group_name_H-M_alt 'F m -3 m'
_space_group_IT_number 225
_space_group_name_Hall '-F 4 2 3'
loop_
_atom_site_label
_atom_site_fract_x
_atom_site_fract_y
_atom_site_fract_z
Rb1 0.250 0.250 0.250
Li1 0.000 0.000 0.000
Pr1 0.000 0.000 0.500
I1 0.000 0.000 0.244
# Calculated density ... 3.9 g/cm³
# Formation energy (no corrections) ... -1.38 eV per atom